Record 1
SrRuCl2: relaxed, PBEsol.

Cell: 3.5518 4.2084 5.6385 Å, 90.00 90.00 90.00°
Space group Pmmm (No. 47)
One atom of each set of equivalent atoms:
Sr (0.0000, 0.0000, 0.0000) (multiplicity 1)
Ru (0.5000, 0.0000, 0.5000) (multiplicity 1)
Cl (0.0000, 0.5000, 0.5000) (multiplicity 1)
Cl (0.5000, 0.5000, 0.0000) (multiplicity 1)

Properties
**VASP energy**: -17.5 eV/cell

Record 2
SiAsRh: relaxed, PBEsol.

Cell: 3.1080 3.1080 5.3670 Å, 90.00 90.00 120.00°
Space group P3m1 (No. 156)
One atom of each set of equivalent atoms:
Si (0.0000, 0.0000, 0.0000) (multiplicity 1)
As (0.3333, 0.6667, 0.6449) (multiplicity 1)
Rh (0.6667, 0.3333, 0.3011) (multiplicity 1)

Properties
**VASP energy**: -19.8 eV/cell

Record 3
CdCo2Si: relaxed, PBEsol.

Cell: 8.4269 2.7286 4.6412 Å, 90.00 101.79 90.00°
Space group Cm (No. 8)
One atom of each set of equivalent atoms:
Cd (0.0000, 0.0000, 0.0000) (multiplicity 2)
Co (0.2593, 0.5000, 0.2512) (multiplicity 2)
Co (0.4952, 0.0000, 0.5065) (multiplicity 2)
Si (0.2246, 0.0000, 0.6218) (multiplicity 2)

Properties
**VASP energy**: -44.1 eV/cell

Record 4
Ca2RhPb: relaxed, PBEsol.

Cell: 4.8094 4.8094 14.7763 Å, 90.00 90.00 120.00°
Space group R3m (No. 160, hexagonal axes)
One atom of each set of equivalent atoms:
Ca (0.0000, 0.0000, 0.0000) (multiplicity 3)
Ca (0.0000, 0.0000, 0.2129) (multiplicity 3)
Rh (0.0000, 0.0000, 0.4280) (multiplicity 3)
Pb (0.0000, 0.0000, 0.7641) (multiplicity 3)

Properties
**Formation energy**: -121 kJ/mol of formula units

| no. | total magnetization (μB/f.u.) |
| --- | --- |
| 1 | 1.9 |
| 2 | 0.0 |
| 3 | 1.0 |
| 4 | 0.0 |